No. 1
The following is a DFT calculation (PBE-GGA) of a relaxed structure of Ti3TlCo.

Lattice parameters (Å, degrees): 5.367 5.367 8.663 93.76 93.76 44.76
Fractional positions:
Ti (0.088, 0.088, 0.382)
Ti (0.380, 0.380, 0.861)
Ti (0.392, 0.392, 0.365)
Ti (0.608, 0.608, 0.635)
Ti (0.620, 0.620, 0.139)
Ti (0.912, 0.912, 0.618)
Tl (0.104, 0.104, 0.883)
Tl (0.896, 0.896, 0.117)
Co (0.264, 0.264, 0.607)
Co (0.736, 0.736, 0.393)

***

No. 2
The following is a DFT calculation (PBE-GGA) of a relaxed structure of Ti3TlCo.

Lattice parameters (Å, degrees): 4.539 4.539 4.539 90.00 90.00 90.00
Fractional positions:
Ti (0.000, 0.000, 0.500)
Ti (0.000, 0.500, 0.000)
Ti (0.500, 0.000, 0.000)
Tl (0.500, 0.500, 0.500)
Co (0.000, 0.000, 0.000)

***

No. 3
The following is a DFT calculation (PBE-GGA) of a relaxed structure of Ti2TlCo2.

Lattice parameters (Å, degrees): 7.858 7.858 7.858 155.18 155.18 35.39
Fractional positions:
Ti (0.136, 0.136, 0.000)
Ti (0.864, 0.864, 0.000)
Tl (0.500, 0.500, 0.000)
Co (0.250, 0.750, 0.500)
Co (0.750, 0.250, 0.500)

***

Energy of formation from the pure elements for every record listed, in sequence, given in eV/atom: -0.025; 0.141; 0.102.
Raw total energy for every record listed, in sequence, given in eV/atom: -6.656; -6.490; -6.371.
Magnetic moment for every record listed, in sequence, given in Bohr magnetons per cell: 0.0; 0.0; 0.0.